(1)
The following is a PBE calculation of a relaxed TbBiS4 crystal, from Alexandria.

a = 4.190 Å, b = 6.293 Å, c = 6.293 Å
α = 91.13°, β = 90.00°, γ = 90.00°
Sites, in units of the cell vectors:
Tb  0.500  0.000  0.000
Bi  0.000  0.500  0.500
S  0.000  0.194  0.194
S  0.000  0.806  0.806
S  0.500  0.694  0.306
S  0.500  0.306  0.694

Calculated values
Energy relative to the elements, uncorrected ... -14.45 kcal/mol of atoms

***

(2)
The following is a PBE calculation of a relaxed Y2Hf2Pt crystal, from Alexandria.

a = 3.805 Å, b = 3.805 Å, c = 9.434 Å
α = 78.36°, β = 78.36°, γ = 90.00°
Sites, in units of the cell vectors:
Y  0.413  0.413  0.174
Y  0.587  0.587  0.826
Hf  0.750  0.250  0.500
Hf  0.250  0.750  0.500
Pt  0.000  0.000  0.000

Calculated values
ΔE to the lowest computed polymorph ... 0.372 eV per atom
DFT formation energy ... 1.70 kcal/mol of atoms

***

(3)
The following is a PBE calculation of a relaxed ZnHg2Pd4 crystal, from Alexandria.

a = 2.950 Å, b = 6.543 Å, c = 7.214 Å
α = 115.44°, β = 101.80°, γ = 90.00°
Sites, in units of the cell vectors:
Zn  0.000  0.000  0.000
Hg  0.772  0.790  0.544
Hg  0.228  0.210  0.456
Pd  0.911  0.276  0.823
Pd  0.089  0.724  0.177
Pd  0.595  0.356  0.190
Pd  0.405  0.644  0.810

Calculated values
ΔE to the lowest computed polymorph ... 0.000 eV per atom
DFT formation energy ... -3.70 kcal/mol of atoms

***

(4)
The following is a PBE calculation of a relaxed Ta4Tl crystal, from Alexandria.

a = 4.993 Å, b = 4.993 Å, c = 4.993 Å
α = 90.00°, β = 90.00°, γ = 90.00°
Sites, in units of the cell vectors:
Tl  0.500  0.500  0.500
Ta  0.000  0.000  0.000
Ta  0.500  0.000  0.500
Ta  0.000  0.500  0.500
Ta  0.500  0.500  0.000

Calculated values
ΔE to the lowest computed polymorph ... 2.234 eV per atom
DFT formation energy ... 57.13 kcal/mol of atoms

***

(5)
The following is a PBE calculation of a relaxed AlZnCl2 crystal, from Alexandria.

a = 3.662 Å, b = 6.235 Å, c = 4.036 Å
α = 90.00°, β = 90.00°, γ = 90.00°
Sites, in units of the cell vectors:
Zn  0.500  0.000  0.500
Al  0.000  0.500  0.500
Cl  0.000  0.000  0.000
Cl  0.500  0.500  0.000

Calculated values
ΔE to the lowest computed polymorph ... 0.486 eV per atom
Energy relative to the elements, uncorrected ... -4.71 kcal/mol of atoms

***

(6)
The following is a PBE calculation of a relaxed Be2CdPb crystal, from Alexandria.

a = 6.515 Å, b = 6.515 Å, c = 6.515 Å
α = 153.50°, β = 142.60°, γ = 46.42°
Sites, in units of the cell vectors:
Pb  0.210  0.710  0.500
Be  0.974  0.974  0.000
Be  0.833  0.333  0.500
Cd  0.483  0.483  0.000

Calculated values
ΔE to the lowest computed polymorph ... 0.137 eV per atom
DFT formation energy ... 12.47 kcal/mol of atoms

***

(7)
The following is a PBE calculation of a relaxed NbGaRh3 crystal, from Alexandria.

a = 4.720 Å, b = 6.260 Å, c = 6.260 Å
α = 119.95°, β = 90.00°, γ = 90.00°
Sites, in units of the cell vectors:
Nb  0.250  0.334  0.666
Nb  0.750  0.666  0.334
Ga  0.000  0.000  0.000
Ga  0.500  0.000  0.000
Rh  0.250  0.804  0.196
Rh  0.750  0.196  0.804
Rh  0.250  0.804  0.608
Rh  0.750  0.196  0.392
Rh  0.250  0.392  0.196
Rh  0.750  0.608  0.804

Calculated values
ΔE to the lowest computed polymorph ... 0.000 eV per atom
DFT formation energy ... -2.03 kcal/mol of atoms

***

(8)
The following is a PBE calculation of a relaxed Dy3TmZr crystal, from Alexandria.

a = 8.960 Å, b = 11.839 Å, c = 8.132 Å
α = 151.34°, β = 65.77°, γ = 129.27°
Sites, in units of the cell vectors:
Dy  0.241  0.648  0.148
Dy  0.669  0.878  0.976
Dy  0.563  0.741  0.438
Dy  0.437  0.259  0.562
Dy  0.759  0.352  0.852
Dy  0.331  0.122  0.024
Tm  0.850  0.471  0.377
Tm  0.150  0.529  0.623
Zr  0.052  0.071  0.760
Zr  0.948  0.929  0.240

Calculated values
ΔE to the lowest computed polymorph ... 0.000 eV per atom
DFT formation energy ... 1.16 kcal/mol of atoms

***

| no. | total energy (eV/atom) |
| --- | --- |
| 1 | -4.80 |
| 2 | -7.70 |
| 3 | -3.40 |
| 4 | -7.48 |
| 5 | -2.38 |
| 6 | -2.48 |
| 7 | -7.12 |
| 8 | -5.31 |